Record 1
{
  "formula": "PrHo10Er4",
  "functional": "PBE",
  "state": "relaxed",
  "sg": "I4/m (87)",
  "delta_e_f_ev_per_atom": 0.490,
  "lattice_angstrom": [[-4.7840, 8.5729, -4.3062], [-6.8724, 4.4175, 3.0854], [1.8498, 8.4239, 1.3714]],
  "species": ["Ho", "Ho", "Ho", "Ho", "Ho", "Ho", "Ho", "Ho", "Ho", "Ho", "Pr", "Er", "Er", "Er", "Er"],
  "frac_coords": [[0.7090, 0.3421, 0.9013], [0.9489, 0.0987, 0.3421], [0.6103, 0.0987, 0.3421], [0.9525, 0.6579, 0.0987], [0.7500, 0.5000, 0.5000], [0.2500, 0.5000, 0.5000], [0.3897, 0.9013, 0.6579], [0.0475, 0.3421, 0.9013], [0.0511, 0.9013, 0.6579], [0.2910, 0.6579, 0.0987], [0.0000, 0.0000, 0.0000], [0.7906, 0.7639, 0.6550], [0.5545, 0.6550, 0.2361], [0.2094, 0.2361, 0.3450], [0.4455, 0.3450, 0.7639]]
}

---

Record 2
{
  "formula": "Pr6HoEr5",
  "functional": "PBE",
  "state": "relaxed",
  "e_above_lowest_polymorph_ev_per_atom": 0.005,
  "sg": "Immm (71)",
  "delta_e_f_ev_per_atom": 0.018,
  "lattice_angstrom": [[1.3368, 0.6229, -4.9410], [4.7997, -8.8288, 0.1843], [-9.5361, 0.5414, 0.1812]],
  "species": ["Pr", "Pr", "Pr", "Pr", "Pr", "Pr", "Er", "Er", "Er", "Er", "Er", "Ho"],
  "frac_coords": [[0.8333, 0.0834, 0.6666], [0.1667, 0.9166, 0.3334], [0.8333, 0.5831, 0.6666], [0.5000, 0.2504, 0.0000], [0.5000, 0.7496, 0.0000], [0.1667, 0.4169, 0.3334], [0.3332, 0.3333, 0.6665], [0.6668, 0.6667, 0.3335], [0.3334, 0.8334, 0.6667], [0.6666, 0.1666, 0.3333], [0.0000, 0.5000, 0.0000], [0.0000, 0.0000, 0.0000]]
}

---

Record 3
{
  "formula": "Pr6Ho5Er",
  "functional": "PBE",
  "state": "relaxed",
  "e_above_lowest_polymorph_ev_per_atom": 0.000,
  "sg": "C2/m (12)",
  "delta_e_f_ev_per_atom": 0.012,
  "lattice_angstrom": [[11.7364, -1.5762, 0.0000], [1.9256, 5.9889, 0.0000], [0.9628, 2.9944, 5.4471]],
  "species": ["Pr", "Pr", "Pr", "Pr", "Pr", "Pr", "Ho", "Ho", "Ho", "Ho", "Ho", "Er"],
  "frac_coords": [[0.7503, 0.0829, 0.3332], [0.2497, 0.9171, 0.6668], [0.7503, 0.4161, 0.6668], [0.2497, 0.5839, 0.3332], [0.7502, 0.7497, 0.0000], [0.2498, 0.2503, 0.0000], [0.5000, 0.8333, 0.3333], [0.5000, 0.5000, 0.0000], [0.5000, 0.1667, 0.6667], [0.0000, 0.3333, 0.3334], [0.0000, 0.6667, 0.6666], [0.0000, 0.0000, 0.0000]]
}

---

Record 4
{
  "formula": "Pr7Ho12Er",
  "functional": "PBE",
  "state": "relaxed",
  "e_above_lowest_polymorph_ev_per_atom": 0.000,
  "sg": "R-3 (148)",
  "delta_e_f_ev_per_atom": 0.228,
  "lattice_angstrom": [[8.4844, 1.3032, 1.9560], [-1.1074, 8.5121, 1.9560], [-1.1074, -1.4734, 8.6088]],
  "species": ["Ho", "Ho", "Ho", "Ho", "Ho", "Ho", "Ho", "Ho", "Ho", "Ho", "Ho", "Ho", "Pr", "Pr", "Pr", "Pr", "Pr", "Pr", "Pr", "Er"],
  "frac_coords": [[0.7499, 0.2722, 0.1441], [0.7278, 0.8559, 0.2501], [0.2501, 0.7278, 0.8559], [0.5027, 0.3848, 0.8640], [0.1441, 0.7499, 0.2722], [0.8640, 0.5027, 0.3848], [0.1360, 0.4973, 0.6152], [0.2722, 0.1441, 0.7499], [0.3848, 0.8640, 0.5027], [0.8559, 0.2501, 0.7278], [0.4973, 0.6152, 0.1360], [0.6152, 0.1360, 0.4973], [0.8440, 0.6013, 0.9175], [0.0825, 0.1560, 0.3987], [0.3987, 0.0825, 0.1560], [0.1560, 0.3987, 0.0825], [0.5000, 0.5000, 0.5000], [0.9175, 0.8440, 0.6013], [0.6013, 0.9175, 0.8440], [0.0000, 0.0000, 0.0000]]
}

---

Record 5
{
  "formula": "Pr6Ho4Er",
  "functional": "PBE",
  "state": "relaxed",
  "e_above_lowest_polymorph_ev_per_atom": 0.155,
  "sg": "I-42m (121)",
  "delta_e_f_ev_per_atom": 0.294,
  "lattice_angstrom": [[-6.1101, -0.8622, -2.9402], [0.4067, -6.7293, 1.1282], [-0.8041, 4.7992, 8.2090]],
  "species": ["Ho", "Ho", "Ho", "Ho", "Pr", "Pr", "Pr", "Pr", "Pr", "Pr", "Er"],
  "frac_coords": [[0.0619, 0.0619, 0.7741], [0.7122, 0.7122, 0.7741], [0.9381, 0.2878, 0.2259], [0.2878, 0.9381, 0.2259], [0.1292, 0.5135, 0.6428], [0.4865, 0.4865, 0.3572], [0.0000, 0.5000, 0.0000], [0.8708, 0.8708, 0.3572], [0.5135, 0.1292, 0.6428], [0.5000, 0.0000, 0.0000], [0.5000, 0.5000, 0.0000]]
}

---

Record 6
{
  "formula": "Pr2Ho6Er",
  "functional": "PBE",
  "state": "relaxed",
  "sg": "C2/c (15)",
  "delta_e_f_ev_per_atom": 0.115,
  "lattice_angstrom": [[-4.9939, -4.2746, -0.1136], [4.3916, -7.6206, 3.8321], [-4.5500, 2.7148, 7.9983]],
  "species": ["Ho", "Ho", "Ho", "Ho", "Ho", "Ho", "Ho", "Ho", "Ho", "Ho", "Ho", "Ho", "Er", "Er", "Pr", "Pr", "Pr", "Pr"],
  "frac_coords": [[0.5039, 0.6536, 0.2751], [0.2305, 0.4610, 0.0580], [0.3142, 0.7779, 0.9602], [0.2695, 0.9420, 0.5390], [0.0039, 0.2751, 0.6536], [0.7695, 0.5390, 0.9420], [0.9961, 0.7249, 0.3464], [0.1858, 0.0398, 0.2221], [0.4961, 0.3464, 0.7249], [0.6858, 0.2221, 0.0398], [0.8142, 0.9602, 0.7779], [0.7305, 0.0580, 0.4610], [0.7500, 0.8834, 0.1166], [0.2500, 0.1166, 0.8834], [0.6248, 0.6703, 0.6183], [0.1248, 0.6183, 0.6703], [0.8752, 0.3817, 0.3297], [0.3752, 0.3297, 0.3817]]
}

---

Record 7
{
  "formula": "Pr4Ho6Er",
  "functional": "PBE",
  "state": "relaxed",
  "e_above_lowest_polymorph_ev_per_atom": 0.000,
  "sg": "P-6m2 (187)",
  "delta_e_f_ev_per_atom": 0.169,
  "lattice_angstrom": [[-1.3971, -2.2626, 2.3828], [8.2164, -7.1297, -1.9525], [1.0838, 7.6519, 7.9012]],
  "species": ["Pr", "Pr", "Pr", "Pr", "Ho", "Ho", "Ho", "Ho", "Ho", "Ho", "Er"],
  "frac_coords": [[0.5000, 0.3326, 0.1663], [0.5000, 0.8337, 0.6674], [0.5000, 0.8337, 0.1663], [0.0000, 0.3333, 0.6667], [0.0000, 0.9845, 0.4923], [0.5000, 0.1788, 0.3577], [0.5000, 0.6423, 0.8212], [0.0000, 0.5077, 0.4923], [0.0000, 0.5077, 0.0155], [0.5000, 0.1788, 0.8212], [0.0000, 0.0000, 0.0000]]
}

---

Record 8
{
  "formula": "Pr7HoEr2",
  "functional": "PBE",
  "state": "relaxed",
  "sg": "Cmmm (65)",
  "delta_e_f_ev_per_atom": 0.629,
  "lattice_angstrom": [[-0.9318, -0.4254, 5.5978], [6.2040, -7.0597, 0.4962], [2.3644, 9.0453, 1.0809]],
  "species": ["Er", "Er", "Pr", "Pr", "Pr", "Pr", "Pr", "Pr", "Pr", "Ho"],
  "frac_coords": [[0.5000, 0.7051, 0.2949], [0.5000, 0.2949, 0.7051], [0.5000, 0.0664, 0.2932], [0.5000, 0.9336, 0.7068], [0.0000, 0.2204, 0.7796], [0.5000, 0.7068, 0.9336], [0.5000, 0.5000, 0.5000], [0.5000, 0.2932, 0.0664], [0.0000, 0.7796, 0.2204], [0.0000, 0.0000, 0.0000]]
}

---

Record 9
{
  "formula": "PrHo12Er3",
  "functional": "PBE",
  "state": "relaxed",
  "sg": "P4/mmm (123)",
  "delta_e_f_ev_per_atom": 0.022,
  "lattice_angstrom": [[4.9954, 0.0000, 0.0000], [0.0000, 4.9954, 0.0000], [0.0000, 0.0000, 19.9771]],
  "species": ["Ho", "Ho", "Ho", "Ho", "Ho", "Ho", "Ho", "Ho", "Ho", "Ho", "Ho", "Ho", "Er", "Er", "Er", "Pr"],
  "frac_coords": [[0.5000, 0.0000, 0.3758], [0.5000, 0.0000, 0.6242], [0.5000, 0.0000, 0.8724], [0.5000, 0.5000, 0.5000], [0.0000, 0.5000, 0.1276], [0.0000, 0.5000, 0.8724], [0.5000, 0.5000, 0.0000], [0.0000, 0.5000, 0.6242], [0.5000, 0.5000, 0.2521], [0.5000, 0.5000, 0.7479], [0.0000, 0.5000, 0.3758], [0.5000, 0.0000, 0.1276], [0.0000, 0.0000, 0.7485], [0.0000, 0.0000, 0.2515], [0.0000, 0.0000, 0.5000], [0.0000, 0.0000, 0.0000]]
}

---

Record 10
{
  "formula": "Pr2Ho3Er6Pu",
  "functional": "PBE",
  "state": "relaxed",
  "sg": "C2/m (12)",
  "delta_e_f_ev_per_atom": 0.051,
  "lattice_angstrom": [[-0.7659, -0.2367, 6.0805], [-2.6048, -4.2358, -3.5900], [10.5128, -5.0580, 0.0926]],
  "species": ["Ho", "Ho", "Ho", "Er", "Er", "Er", "Er", "Er", "Er", "Pr", "Pr", "Pu"],
  "frac_coords": [[0.5000, 0.5000, 0.5000], [0.1669, 0.8331, 0.5000], [0.8331, 0.1669, 0.5000], [0.4122, 0.0834, 0.2517], [0.5878, 0.9166, 0.7483], [0.9166, 0.5878, 0.7483], [0.7547, 0.7547, 0.2520], [0.0834, 0.4122, 0.2517], [0.2453, 0.2453, 0.7480], [0.3335, 0.6665, 0.0000], [0.6665, 0.3335, 0.0000], [0.0000, 0.0000, 0.0000]]
}

---

Record 11
{
  "formula": "Pr3Ho6Er2Pu",
  "functional": "PBE",
  "state": "relaxed",
  "sg": "C2/m (12)",
  "delta_e_f_ev_per_atom": 0.046,
  "lattice_angstrom": [[6.1701, -0.0016, -0.0098], [-3.0850, 5.3436, -0.0098], [-1.0117, -1.7518, 11.5496]],
  "species": ["Ho", "Ho", "Ho", "Ho", "Ho", "Ho", "Er", "Er", "Pr", "Pr", "Pr", "Pu"],
  "frac_coords": [[0.7519, 0.7519, 0.2433], [0.9189, 0.5899, 0.7569], [0.5899, 0.9189, 0.7569], [0.0811, 0.4101, 0.2431], [0.2481, 0.2481, 0.7567], [0.4101, 0.0811, 0.2431], [0.3334, 0.6666, 0.0000], [0.6666, 0.3334, 0.0000], [0.5000, 0.5000, 0.5000], [0.8329, 0.1671, 0.5000], [0.1671, 0.8329, 0.5000], [0.0000, 0.0000, 0.0000]]
}

---

Record 12
{
  "formula": "Pr2Ho6Er3Pu",
  "functional": "PBE",
  "state": "relaxed",
  "sg": "C2/m (12)",
  "delta_e_f_ev_per_atom": 0.052,
  "lattice_angstrom": [[6.1412, -0.0036, -0.0111], [-3.0722, 5.3175, -0.0111], [-1.0079, -1.7451, 11.5234]],
  "species": ["Ho", "Ho", "Ho", "Ho", "Ho", "Ho", "Er", "Er", "Er", "Pr", "Pr", "Pu"],
  "frac_coords": [[0.0836, 0.4125, 0.2523], [0.2452, 0.2452, 0.7474], [0.4125, 0.0836, 0.2523], [0.5875, 0.9164, 0.7477], [0.9164, 0.5875, 0.7477], [0.7548, 0.7548, 0.2526], [0.5000, 0.5000, 0.5000], [0.8332, 0.1668, 0.5000], [0.1668, 0.8332, 0.5000], [0.3335, 0.6665, 0.0000], [0.6665, 0.3335, 0.0000], [0.0000, 0.0000, 0.0000]]
}

---

Record 13
{
  "formula": "Pr3Ho2Er6Pu",
  "functional": "PBE",
  "state": "relaxed",
  "sg": "C2/m (12)",
  "delta_e_f_ev_per_atom": 0.045,
  "lattice_angstrom": [[-2.6410, 1.3002, 5.4117], [-3.3721, 0.0177, -5.1557], [-0.3703, -11.5877, 1.4319]],
  "species": ["Er", "Er", "Er", "Er", "Er", "Er", "Ho", "Ho", "Pr", "Pr", "Pr", "Pu"],
  "frac_coords": [[0.4100, 0.0812, 0.2435], [0.7522, 0.7522, 0.2437], [0.9188, 0.5900, 0.7565], [0.0812, 0.4100, 0.2435], [0.5900, 0.9188, 0.7565], [0.2478, 0.2478, 0.7563], [0.3334, 0.6666, 0.0000], [0.6666, 0.3334, 0.0000], [0.5000, 0.5000, 0.5000], [0.1673, 0.8327, 0.5000], [0.8327, 0.1673, 0.5000], [0.0000, 0.0000, 0.0000]]
}

---

Record 14
{
  "formula": "PrHoErRu",
  "functional": "PBE",
  "state": "relaxed",
  "sg": "P4mm (99)",
  "delta_e_f_ev_per_atom": -0.259,
  "lattice_angstrom": [[3.4380, 0.0000, 0.0000], [0.0000, 3.4380, 0.0000], [0.0000, 0.0000, 9.0381]],
  "species": ["Ru", "Er", "Pr", "Ho"],
  "frac_coords": [[0.0000, 0.0000, 0.5702], [0.5000, 0.5000, 0.3922], [0.0000, 0.0000, 0.0722], [0.5000, 0.5000, 0.7501]]
}

---

Record 15
{
  "formula": "Pr3HoEr2S6",
  "functional": "PBE",
  "state": "relaxed",
  "sg": "C2/m (12)",
  "formation_energy_uncorrected_ev_per_atom": -2.00,
  "lattice_angstrom": [[6.8318, -0.0093, -0.0021], [-3.4223, 5.9128, -0.0021], [-1.1393, -1.9728, 6.6773]],
  "species": ["S", "S", "S", "S", "S", "S", "Pr", "Pr", "Pr", "Er", "Er", "Ho"],
  "frac_coords": [[0.4102, 0.0758, 0.2276], [0.2590, 0.2590, 0.7729], [0.5898, 0.9242, 0.7724], [0.9242, 0.5898, 0.7724], [0.7410, 0.7410, 0.2271], [0.0758, 0.4102, 0.2276], [0.1662, 0.8338, 0.5000], [0.5000, 0.5000, 0.5000], [0.8338, 0.1662, 0.5000], [0.6667, 0.3333, 0.0000], [0.3333, 0.6667, 0.0000], [0.0000, 0.0000, 0.0000]]
}

---

Record 16
{
  "formula": "PrHoEr4S8",
  "functional": "PBE",
  "state": "relaxed",
  "sg": "R3m (160)",
  "formation_energy_uncorrected_ev_per_atom": -1.92,
  "lattice_angstrom": [[-4.4902, -6.5532, -1.2779], [1.6109, -6.8157, 3.9612], [-5.0282, -2.6106, 5.7247]],
  "species": ["Er", "Er", "Er", "Er", "S", "S", "S", "S", "S", "S", "S", "S", "Pr", "Ho"],
  "frac_coords": [[0.6251, 0.6251, 0.1246], [0.5026, 0.9992, 0.4991], [0.9992, 0.9992, 0.4991], [0.9992, 0.5026, 0.4991], [0.7561, 0.7561, 0.2581], [0.2297, 0.7561, 0.2581], [0.7570, 0.7570, 0.7289], [0.2373, 0.2373, 0.2882], [0.7561, 0.2297, 0.2581], [0.7871, 0.2384, 0.7362], [0.2384, 0.7871, 0.7362], [0.2384, 0.2384, 0.7362], [0.3747, 0.3747, 0.8758], [0.9992, 0.9992, 0.0024]]
}

---

Record 17
{
  "formula": "Pr4HoEr3S8",
  "functional": "PBE",
  "state": "relaxed",
  "sg": "R-3m (166)",
  "formation_energy_uncorrected_ev_per_atom": -2.00,
  "lattice_angstrom": [[7.8709, 0.0000, 0.0000], [0.0000, 8.0944, 0.1517], [-3.9355, -3.9315, 5.5678]],
  "species": ["S", "S", "S", "S", "S", "S", "S", "S", "Er", "Er", "Er", "Pr", "Pr", "Pr", "Pr", "Ho"],
  "frac_coords": [[0.7573, 0.2734, 0.0161], [0.7420, 0.7259, 0.4840], [0.7573, 0.2734, 0.5147], [0.2588, 0.2734, 0.0161], [0.7412, 0.7266, 0.9839], [0.2427, 0.7266, 0.9839], [0.2580, 0.2741, 0.5160], [0.2427, 0.7266, 0.4853], [0.5000, 0.5000, 0.5000], [0.0000, 0.5000, 0.5000], [0.5000, 0.5000, 0.0000], [0.0000, 0.0000, 0.0000], [0.5000, 0.0000, 0.5000], [0.0000, 0.0000, 0.5000], [0.5000, 0.0000, 0.0000], [0.0000, 0.5000, 0.0000]]
}

---

Record 18
{
  "formula": "PrHo3Er2S6",
  "functional": "PBE",
  "state": "relaxed",
  "sg": "C2/m (12)",
  "formation_energy_uncorrected_ev_per_atom": -1.97,
  "lattice_angstrom": [[6.7901, -0.0106, -0.0010], [-3.4025, 5.8760, -0.0010], [-1.1310, -1.9584, 6.3887]],
  "species": ["S", "S", "S", "S", "S", "S", "Er", "Er", "Ho", "Ho", "Ho", "Pr"],
  "frac_coords": [[0.7377, 0.7377, 0.2519], [0.2623, 0.2623, 0.7481], [0.0853, 0.4322, 0.2565], [0.9147, 0.5678, 0.7435], [0.4322, 0.0853, 0.2565], [0.5678, 0.9147, 0.7435], [0.6655, 0.3345, 0.0000], [0.3345, 0.6655, 0.0000], [0.1602, 0.8398, 0.5000], [0.8398, 0.1602, 0.5000], [0.5000, 0.5000, 0.5000], [0.0000, 0.0000, 0.0000]]
}

---

Record 19
{
  "formula": "PrHo2Er3S6",
  "functional": "PBE",
  "state": "relaxed",
  "sg": "C2/m (12)",
  "formation_energy_uncorrected_ev_per_atom": -1.97,
  "lattice_angstrom": [[-4.8557, 4.7201, -0.2185], [-1.1111, -6.1512, -2.6140], [-0.2122, -1.5291, 6.6078]],
  "species": ["Pr", "S", "S", "S", "S", "S", "S", "Er", "Er", "Er", "Ho", "Ho"],
  "frac_coords": [[0.0000, 0.0000, 0.0000], [0.5680, 0.9136, 0.7403], [0.7403, 0.7403, 0.2556], [0.0864, 0.4320, 0.2597], [0.2597, 0.2597, 0.7444], [0.9136, 0.5680, 0.7403], [0.4320, 0.0864, 0.2597], [0.1609, 0.8391, 0.5000], [0.8391, 0.1609, 0.5000], [0.5000, 0.5000, 0.5000], [0.3344, 0.6656, 0.0000], [0.6656, 0.3344, 0.0000]]
}

---

Record 20
{
  "formula": "Pr2HoErS6",
  "functional": "PBE",
  "state": "relaxed",
  "sg": "R3 (146)",
  "formation_energy_uncorrected_ev_per_atom": -2.03,
  "lattice_angstrom": [[7.0678, 0.0002, 0.0003], [3.5341, 6.1208, 0.0000], [3.5338, 2.0405, 6.1755]],
  "species": ["S", "S", "S", "S", "S", "S", "Ho", "Pr", "Pr", "Er"],
  "frac_coords": [[0.9418, 0.6028, 0.2598], [0.1956, 0.9417, 0.2597], [0.6951, 0.1044, 0.7603], [0.1044, 0.4403, 0.7603], [0.4402, 0.6950, 0.7602], [0.6028, 0.1957, 0.2597], [0.8166, 0.8167, 0.5501], [0.5242, 0.5241, 0.4276], [0.0239, 0.0239, 0.9284], [0.3170, 0.3169, 0.0490]]
}